No. 1
Si2Au2O: relaxed, PBE-GGA.

- ΔE to the lowest computed polymorph (meV/atom) = 519
- formation energy without anion corrections (eV/atom) = 0.429

The structure in extended XYZ format:
```
5
Lattice="3.977 0.000 0.000 0.000 3.977 0.000 1.989 1.989 5.467" Properties=species:S:1:pos:R:3 pbc="T T T"
Si 1.989 1.989 1.140
Si 3.977 3.977 4.327
Au 3.977 1.989 2.733
Au 1.989 3.977 2.733
O 0.000 0.000 0.000
```

=====

No. 2
TaSiAu2O: relaxed, PBE-GGA.

- formation energy without anion corrections (eV/atom) = 1.554

The structure in extended XYZ format:
```
5
Lattice="5.056 0.000 0.000 0.000 5.071 0.000 0.000 0.000 5.056" Properties=species:S:1:pos:R:3 pbc="T T T"
Si 0.000 2.535 0.000
Au 0.000 0.000 2.528
Au 2.528 0.000 0.000
O 2.528 2.535 2.528
Ta 0.000 0.000 0.000
```

=====

no.,total DFT energy (no corrections) (eV/atom)
1,-4.0427
2,-4.2033